# 1
Below is an optimized crystal structure of RbZrSeCl2, with properties calculated at the GGA-PBE level.

## Properties
Formation energy without anion corrections (eV/atom): -0.664
DOS(E_F) (states/eV per atom): 2.173

```
data_RbZrSeCl2
_space_group_name_H-M_alt 'P 1'
_space_group_IT_number 1
_cell_length_a 4.9877
_cell_length_b 4.9877
_cell_length_c 9.1421
_cell_angle_alpha 90.00
_cell_angle_beta 90.00
_cell_angle_gamma 90.00
loop_
_space_group_symop_operation_xyz
'x,y,z'
loop_
_atom_site_label
_atom_site_type_symbol
_atom_site_fract_x
_atom_site_fract_y
_atom_site_fract_z
_atom_site_occupancy
Rb1 Rb 0.0000 0.0000 0.0000 1
Zr1 Zr 0.0000 0.0000 0.5000 1
Se1 Se 0.5000 0.5000 0.0000 1
Cl1 Cl 0.0000 0.5000 0.5000 1
Cl2 Cl 0.5000 0.0000 0.5000 1
```

# 2
Below is an optimized crystal structure of Rb3SiCl, with properties calculated at the GGA-PBE level.

## Properties
Excess energy over the best structure of this formula in the dataset (meV per atom): 0
Formation energy without anion corrections (eV/atom): -0.373
DOS(E_F) (states/eV per atom): 0.428

```
data_Rb3SiCl
_space_group_name_H-M_alt 'P 1'
_space_group_IT_number 1
_cell_length_a 6.2441
_cell_length_b 6.2441
_cell_length_c 6.2441
_cell_angle_alpha 90.00
_cell_angle_beta 90.00
_cell_angle_gamma 90.00
loop_
_space_group_symop_operation_xyz
'x,y,z'
loop_
_atom_site_label
_atom_site_type_symbol
_atom_site_fract_x
_atom_site_fract_y
_atom_site_fract_z
_atom_site_occupancy
Rb1 Rb 0.0000 0.0000 0.5000 1
Rb2 Rb 0.0000 0.5000 0.0000 1
Rb3 Rb 0.5000 0.0000 0.0000 1
Si1 Si 0.5000 0.5000 0.5000 1
Cl1 Cl 0.0000 0.0000 0.0000 1
```

# 3
Below is an optimized crystal structure of RbSiCl, with properties calculated at the GGA-PBE level.

## Properties
Excess energy over the best structure of this formula in the dataset (meV per atom): 14
Formation energy without anion corrections (eV/atom): -0.914

```
data_RbSiCl
_space_group_name_H-M_alt 'P 1'
_space_group_IT_number 1
_cell_length_a 12.7441
_cell_length_b 12.7441
_cell_length_c 12.7441
_cell_angle_alpha 18.32
_cell_angle_beta 18.32
_cell_angle_gamma 18.32
loop_
_space_group_symop_operation_xyz
'x,y,z'
loop_
_atom_site_label
_atom_site_type_symbol
_atom_site_fract_x
_atom_site_fract_y
_atom_site_fract_z
_atom_site_occupancy
Rb1 Rb 0.0000 0.0000 0.0000 1
Rb2 Rb 0.1173 0.1173 0.1173 1
Si1 Si 0.2138 0.2138 0.2138 1
Si2 Si 0.8611 0.8611 0.8611 1
Cl1 Cl 0.2763 0.2763 0.2763 1
Cl2 Cl 0.3919 0.3919 0.3919 1
```

# 4
Below is an optimized crystal structure of RbSi3Cl12, with properties calculated at the GGA-PBE level.

## Properties
Formation energy without anion corrections (eV/atom): -1.166
DOS(E_F) (states/eV per atom): 0.291

```
data_RbSi3Cl12
_space_group_name_H-M_alt 'P 1'
_space_group_IT_number 1
_cell_length_a 13.2908
_cell_length_b 13.2908
_cell_length_c 8.5919
_cell_angle_alpha 90.00
_cell_angle_beta 90.00
_cell_angle_gamma 120.00
loop_
_space_group_symop_operation_xyz
'x,y,z'
loop_
_atom_site_label
_atom_site_type_symbol
_atom_site_fract_x
_atom_site_fract_y
_atom_site_fract_z
_atom_site_occupancy
Rb1 Rb 0.3333 0.6667 0.2500 1
Rb2 Rb 0.6667 0.3333 0.7500 1
Si1 Si 0.0912 0.3875 0.7500 1
Si2 Si 0.2963 0.9088 0.7500 1
Si3 Si 0.3875 0.2963 0.2500 1
Si4 Si 0.6125 0.7037 0.7500 1
Si5 Si 0.7037 0.0912 0.2500 1
Si6 Si 0.9088 0.6125 0.2500 1
Cl1 Cl 0.0039 0.7910 0.2500 1
Cl2 Cl 0.0207 0.5451 0.2500 1
Cl3 Cl 0.1937 0.4450 0.5490 1
Cl4 Cl 0.1937 0.4450 0.9510 1
Cl5 Cl 0.2090 0.2129 0.2500 1
Cl6 Cl 0.2129 0.0039 0.7500 1
Cl7 Cl 0.2513 0.8063 0.5490 1
Cl8 Cl 0.2513 0.8063 0.9510 1
Cl9 Cl 0.4450 0.2513 0.0490 1
Cl10 Cl 0.4450 0.2513 0.4510 1
Cl11 Cl 0.4549 0.4756 0.2500 1
Cl12 Cl 0.4756 0.0207 0.7500 1
Cl13 Cl 0.5244 0.9793 0.2500 1
Cl14 Cl 0.5451 0.5244 0.7500 1
Cl15 Cl 0.5550 0.7487 0.5490 1
Cl16 Cl 0.5550 0.7487 0.9510 1
Cl17 Cl 0.7487 0.1937 0.0490 1
Cl18 Cl 0.7487 0.1937 0.4510 1
Cl19 Cl 0.7871 0.9961 0.2500 1
Cl20 Cl 0.7910 0.7871 0.7500 1
Cl21 Cl 0.8063 0.5550 0.0490 1
Cl22 Cl 0.8063 0.5550 0.4510 1
Cl23 Cl 0.9793 0.4549 0.7500 1
Cl24 Cl 0.9961 0.2090 0.7500 1
```

# 5
Below is an optimized crystal structure of RbSiCl5, with properties calculated at the GGA-PBE level.

## Properties
Formation energy without anion corrections (eV/atom): -1.322
DOS(E_F) (states/eV per atom): 0.000

```
data_RbSiCl5
_space_group_name_H-M_alt 'P 1'
_space_group_IT_number 1
_cell_length_a 7.4682
_cell_length_b 8.6665
_cell_length_c 8.4059
_cell_angle_alpha 90.00
_cell_angle_beta 90.00
_cell_angle_gamma 90.00
loop_
_space_group_symop_operation_xyz
'x,y,z'
loop_
_atom_site_label
_atom_site_type_symbol
_atom_site_fract_x
_atom_site_fract_y
_atom_site_fract_z
_atom_site_occupancy
Rb1 Rb 0.0000 0.0000 0.0000 1
Rb2 Rb 0.5000 0.5000 0.5000 1
Si1 Si 0.0000 0.5000 0.7119 1
Si2 Si 0.5000 0.0000 0.2119 1
Cl1 Cl 0.0000 0.2420 0.7051 1
Cl2 Cl 0.0000 0.5000 0.4599 1
Cl3 Cl 0.0000 0.7580 0.7051 1
Cl4 Cl 0.2425 0.5000 0.8386 1
Cl5 Cl 0.2575 0.0000 0.3386 1
Cl6 Cl 0.5000 0.0000 0.9599 1
Cl7 Cl 0.5000 0.2580 0.2051 1
Cl8 Cl 0.5000 0.7420 0.2051 1
Cl9 Cl 0.7425 0.0000 0.3386 1
Cl10 Cl 0.7575 0.5000 0.8386 1
```

# 6
Below is an optimized crystal structure of Rb2SiCl7, with properties calculated at the GGA-PBE level.

## Properties
Formation energy without anion corrections (eV/atom): -1.156
DOS(E_F) (states/eV per atom): 0.000

```
data_Rb2SiCl7
_space_group_name_H-M_alt 'P 1'
_space_group_IT_number 1
_cell_length_a 7.2046
_cell_length_b 7.2046
_cell_length_c 7.2046
_cell_angle_alpha 113.47
_cell_angle_beta 113.47
_cell_angle_gamma 101.74
loop_
_space_group_symop_operation_xyz
'x,y,z'
loop_
_atom_site_label
_atom_site_type_symbol
_atom_site_fract_x
_atom_site_fract_y
_atom_site_fract_z
_atom_site_occupancy
Rb1 Rb 0.2500 0.7500 0.5000 1
Rb2 Rb 0.7500 0.2500 0.5000 1
Si1 Si 0.0000 0.0000 0.0000 1
Cl1 Cl 0.2031 0.2031 0.4062 1
Cl2 Cl 0.2031 0.7969 0.0000 1
Cl3 Cl 0.2349 0.2349 0.0000 1
Cl4 Cl 0.5000 0.5000 0.0000 1
Cl5 Cl 0.7651 0.7651 0.0000 1
Cl6 Cl 0.7969 0.2031 0.0000 1
Cl7 Cl 0.7969 0.7969 0.5938 1
```

# 7
Below is an optimized crystal structure of RbSiCl, with properties calculated at the GGA-PBE level.

## Properties
Excess energy over the best structure of this formula in the dataset (meV per atom): 683
Formation energy without anion corrections (eV/atom): -0.245
DOS(E_F) (states/eV per atom): 0.461

```
data_RbSiCl
_space_group_name_H-M_alt 'P 1'
_space_group_IT_number 1
_cell_length_a 3.9006
_cell_length_b 3.9006
_cell_length_c 6.3201
_cell_angle_alpha 90.00
_cell_angle_beta 90.00
_cell_angle_gamma 90.00
loop_
_space_group_symop_operation_xyz
'x,y,z'
loop_
_atom_site_label
_atom_site_type_symbol
_atom_site_fract_x
_atom_site_fract_y
_atom_site_fract_z
_atom_site_occupancy
Rb1 Rb 0.0000 0.0000 0.0000 1
Si1 Si 0.5000 0.5000 0.6368 1
Cl1 Cl 0.5000 0.5000 0.2839 1
```

# 8
Below is an optimized crystal structure of RbSiCl, with properties calculated at the GGA-PBE level.

## Properties
Excess energy over the best structure of this formula in the dataset (meV per atom): 0
Formation energy without anion corrections (eV/atom): -0.928

```
data_RbSiCl
_space_group_name_H-M_alt 'P 1'
_space_group_IT_number 1
_cell_length_a 12.5926
_cell_length_b 12.5926
_cell_length_c 12.5926
_cell_angle_alpha 18.61
_cell_angle_beta 18.61
_cell_angle_gamma 18.61
loop_
_space_group_symop_operation_xyz
'x,y,z'
loop_
_atom_site_label
_atom_site_type_symbol
_atom_site_fract_x
_atom_site_fract_y
_atom_site_fract_z
_atom_site_occupancy
Rb1 Rb 0.0000 0.0000 0.0000 1
Rb2 Rb 0.2153 0.2153 0.2153 1
Si1 Si 0.4546 0.4546 0.4546 1
Si2 Si 0.8068 0.8068 0.8068 1
Cl1 Cl 0.3911 0.3911 0.3911 1
Cl2 Cl 0.6079 0.6079 0.6079 1
```

# 9
Below is an optimized crystal structure of RbSi2Cl8, with properties calculated at the GGA-PBE level.

## Properties
Formation energy without anion corrections (eV/atom): -1.153
DOS(E_F) (states/eV per atom): 0.378

```
data_RbSi2Cl8
_space_group_name_H-M_alt 'P 1'
_space_group_IT_number 1
_cell_length_a 7.5900
_cell_length_b 7.5900
_cell_length_c 8.5535
_cell_angle_alpha 108.58
_cell_angle_beta 108.58
_cell_angle_gamma 56.07
loop_
_space_group_symop_operation_xyz
'x,y,z'
loop_
_atom_site_label
_atom_site_type_symbol
_atom_site_fract_x
_atom_site_fract_y
_atom_site_fract_z
_atom_site_occupancy
Rb1 Rb 0.0000 0.0000 0.0000 1
Si1 Si 0.2064 0.2064 0.6982 1
Si2 Si 0.7936 0.7936 0.3018 1
Cl1 Cl 0.1022 0.6337 0.2413 1
Cl2 Cl 0.1731 0.1731 0.4365 1
Cl3 Cl 0.3663 0.8978 0.7587 1
Cl4 Cl 0.3742 0.3742 0.8511 1
Cl5 Cl 0.6258 0.6258 0.1489 1
Cl6 Cl 0.6337 0.1022 0.2413 1
Cl7 Cl 0.8269 0.8269 0.5635 1
Cl8 Cl 0.8978 0.3663 0.7587 1
```

# 10
Below is an optimized crystal structure of RbSiCl, with properties calculated at the GGA-PBE level.

## Properties
Excess energy over the best structure of this formula in the dataset (meV per atom): 1
Formation energy without anion corrections (eV/atom): -0.927

```
data_RbSiCl
_space_group_name_H-M_alt 'P 1'
_space_group_IT_number 1
_cell_length_a 4.0677
_cell_length_b 4.0677
_cell_length_c 12.3803
_cell_angle_alpha 90.00
_cell_angle_beta 90.00
_cell_angle_gamma 120.00
loop_
_space_group_symop_operation_xyz
'x,y,z'
loop_
_atom_site_label
_atom_site_type_symbol
_atom_site_fract_x
_atom_site_fract_y
_atom_site_fract_z
_atom_site_occupancy
Rb1 Rb 0.0000 0.0000 0.0000 1
Rb2 Rb 0.3333 0.6667 0.6461 1
Si1 Si 0.3333 0.6667 0.2256 1
Si2 Si 0.6667 0.3333 0.2823 1
Cl1 Cl 0.6667 0.3333 0.4725 1
Cl2 Cl 0.6667 0.3333 0.8222 1
```

# 11
Below is an optimized crystal structure of Rb3SiCl6, with properties calculated at the GGA-PBE level.

## Properties
Formation energy without anion corrections (eV/atom): -1.433
DOS(E_F) (states/eV per atom): 0.130

```
data_Rb3SiCl6
_space_group_name_H-M_alt 'P 1'
_space_group_IT_number 1
_cell_length_a 7.7806
_cell_length_b 7.7806
_cell_length_c 7.7806
_cell_angle_alpha 60.00
_cell_angle_beta 60.00
_cell_angle_gamma 60.00
loop_
_space_group_symop_operation_xyz
'x,y,z'
loop_
_atom_site_label
_atom_site_type_symbol
_atom_site_fract_x
_atom_site_fract_y
_atom_site_fract_z
_atom_site_occupancy
Rb1 Rb 0.0000 0.0000 0.0000 1
Rb2 Rb 0.2500 0.2500 0.2500 1
Rb3 Rb 0.7500 0.7500 0.7500 1
Si1 Si 0.5000 0.5000 0.5000 1
Cl1 Cl 0.2821 0.2821 0.7179 1
Cl2 Cl 0.2821 0.7179 0.2821 1
Cl3 Cl 0.2821 0.7179 0.7179 1
Cl4 Cl 0.7179 0.2821 0.2821 1
Cl5 Cl 0.7179 0.2821 0.7179 1
Cl6 Cl 0.7179 0.7179 0.2821 1
```

formation energy without anion corrections of number 7 (RbSiCl)?
-0.245 eV/atom